Entry 1:
# AlCdN2

AlCdN2 after structural relaxation (PBE, Alexandria).

Lattice parameters (Å, degrees): 3.9752 3.9752 3.9752 60.00 60.00 60.00
Last column: nearest neighbours and their distance in Å.
Positions (direct):
1 Al 0.0000 0.0000 0.0000  8 N 2.43
2 Cd 0.5000 0.5000 0.5000  8 N 2.43
3 N 0.7500 0.7500 0.7500  4 Cd 2.43, 4 Al 2.43
4 N 0.2500 0.2500 0.2500  4 Cd 2.43, 4 Al 2.43

Formation energy without anion corrections   1003 meV/atom
Fermi-level density of states   2.6 states/eV per cell
Spin magnetization   0.000 μB/atom
V   44 Å³ per cell
Distance to the lowest polymorph of the same formula   1.119 eV/atom

Entry 2:
# SmEr2MgC

SmEr2MgC after structural relaxation (PBE, Alexandria).

Lattice parameters (Å, degrees): 5.1888 4.8884 4.8884 90.00 90.00 90.00
Last column: nearest neighbours and their distance in Å.
Positions (direct):
1 Mg 0.5000 0.5000 0.5000  4 Sm 3.46, 8 Er 3.56
2 Er 0.0000 0.5000 0.0000  2 C 2.44
3 Er 0.0000 0.0000 0.5000  2 C 2.44
4 C 0.0000 0.0000 0.0000  4 Er 2.44, 2 Sm 2.59
5 Sm 0.5000 0.0000 0.0000  2 C 2.59

Fermi-level density of states   5.6 states/eV per cell
Spin magnetization   0.000 μB/atom
Formation enthalpy at 0 K   -173.1 meV per atom
V   124 Å³ per cell

Entry 3:
# TlRu2Se

TlRu2Se after structural relaxation (PBE, Alexandria).

Lattice parameters (Å, degrees): 3.1218 5.1754 4.4050 90.00 90.00 90.00
Last column: nearest neighbours and their distance in Å.
Positions (direct):
1 Ru 0.0000 0.0000 0.0000  4 Se 2.70, 4 Ru 3.02
2 Ru 0.5000 0.5000 0.0000  4 Tl 2.70, 4 Ru 3.02
3 Tl 0.0000 0.5000 0.5000  4 Ru 2.70, 4 Se 3.02
4 Se 0.5000 0.0000 0.5000  4 Ru 2.70, 4 Tl 3.02

Formation energy without anion corrections   726 meV/atom
Fermi-level density of states   5.7 states/eV per cell
Spin magnetization   0.279 μB/atom
V   71 Å³ per cell
Distance to the lowest polymorph of the same formula   0.442 eV/atom

Entry 4:
# BaNaLa2Os

BaNaLa2Os after structural relaxation (PBE, Alexandria).

Lattice parameters (Å, degrees): 5.5072 5.5072 6.2615 90.00 90.00 90.00
Last column: nearest neighbours and their distance in Å.
Positions (direct):
1 Na 0.0000 0.0000 0.5000  2 Os 3.13
2 Ba 0.5000 0.5000 0.5000  4 Na 3.89, 8 La 4.17
3 Os 0.0000 0.0000 0.0000  4 La 2.75
4 La 0.5000 0.0000 0.0000  2 Os 2.75
5 La 0.0000 0.5000 0.0000  2 Os 2.75

Fermi-level density of states   4.8 states/eV per cell
Spin magnetization   0.000 μB/atom
Formation enthalpy at 0 K   160.1 meV per atom
V   190 Å³ per cell
Distance to the lowest polymorph of the same formula   0.089 eV/atom

Entry 5:
# Re2Br2O7

Re2Br2O7 after structural relaxation (PBE, Alexandria).

Lattice parameters (Å, degrees): 4.8492 8.3178 8.3178 93.55 91.81 91.81
Last column: nearest neighbours and their distance in Å.
Positions (direct):
1 O 0.0154 0.8835 0.6525  1 Re 1.72
2 O 0.9846 0.3475 0.1165  1 Re 1.72
3 O 0.0154 0.6525 0.8835  1 Re 1.72
4 O 0.9846 0.1165 0.3475  1 Re 1.72
5 O 0.5210 0.1462 0.1462  1 Re 1.73
6 O 0.4790 0.8538 0.8538  1 Re 1.73
7 O 0.0000 0.0000 0.0000  2 Re 1.88
8 Re 0.1215 0.8453 0.8453  4 O 1.72-1.88
9 Re 0.8785 0.1547 0.1547  4 O 1.72-1.88
10 Br 0.5000 0.4049 0.5951  1 Br 2.30
11 Br 0.5000 0.5951 0.4049  1 Br 2.30

Formation energy without anion corrections   -1164 meV/atom
Fermi-level density of states   0.0 states/eV per cell
Spin magnetization   0.000 μB/atom
V   334 Å³ per cell

Entry 6:
# Zn4As3

Zn4As3 after structural relaxation (PBE, Alexandria).

Lattice parameters (Å, degrees): 10.8769 10.8769 10.8769 160.97 160.97 27.04
Last column: nearest neighbours and their distance in Å.
Positions (direct):
1 As 0.0000 0.0000 0.0000  8 Zn 2.83
2 As 0.3253 0.3253 0.0000  6 Zn 2.45-2.72
3 As 0.6747 0.6747 0.0000  6 Zn 2.45-2.72
4 Zn 0.4410 0.4410 0.0000  1 As 2.45, 1 Zn 2.50
5 Zn 0.1968 0.1968 0.0000  5 As 2.59-2.72
6 Zn 0.8032 0.8032 0.0000  5 As 2.59-2.72
7 Zn 0.5590 0.5590 0.0000  1 As 2.45, 1 Zn 2.50

Fermi-level density of states   2.3 states/eV per cell
Spin magnetization   0.000 μB/atom
Formation enthalpy at 0 K   42.4 meV per atom
V   137 Å³ per cell
Distance to the lowest polymorph of the same formula   0.016 eV/atom

Entry 7:
# Pr2Zn5Pt4

Pr2Zn5Pt4 after structural relaxation (PBE, Alexandria).

Lattice parameters (Å, degrees): 5.4193 5.4963 8.5942 81.06 71.62 60.46
Last column: nearest neighbours and their distance in Å.
Positions (direct):
1 Pr 0.8512 0.0000 0.2976  6 Pt 3.11-3.31, 4 Zn 3.21
2 Pr 0.1488 0.0000 0.7024  6 Pt 3.11-3.31, 4 Zn 3.21
3 Pt 0.5272 0.6892 0.2565  5 Zn 2.57-2.65
4 Pt 0.7837 0.6892 0.7435  5 Zn 2.57-2.65
5 Pt 0.4728 0.3108 0.7435  5 Zn 2.57-2.65
6 Pt 0.2163 0.3108 0.2565  5 Zn 2.57-2.65
7 Zn 0.5000 0.0000 0.0000  4 Pt 2.57, 4 Zn 2.75
8 Zn 0.7500 0.5000 0.5000  4 Pt 2.57, 2 Zn 2.71
9 Zn 0.5000 0.5000 0.0000  4 Pt 2.65, 4 Zn 2.71-2.75
10 Zn 0.0000 0.5000 0.0000  4 Pt 2.65, 4 Zn 2.71-2.75
11 Zn 0.2500 0.5000 0.5000  4 Pt 2.57, 2 Zn 2.71

Fermi-level density of states   5.1 states/eV per cell
Spin magnetization   0.000 μB/atom
Formation enthalpy at 0 K   -712.9 meV per atom
V   211 Å³ per cell

Entry 8:
# Rb2Cd2RhO6

Rb2Cd2RhO6 after structural relaxation (PBE, Alexandria).

Lattice parameters (Å, degrees): 5.7472 5.7472 6.8006 99.08 99.08 118.36
Last column: nearest neighbours and their distance in Å.
Positions (direct):
1 O 0.7736 0.7736 0.6678  1 Rh 2.00
2 O 0.6535 0.9449 0.3299  1 Rh 1.99
3 O 0.9449 0.6535 0.3299  1 Rh 1.99
4 O 0.2264 0.2264 0.3322  1 Rh 2.00
5 O 0.0551 0.3465 0.6701  1 Rh 1.99
6 O 0.3465 0.0551 0.6701  1 Rh 1.99
7 Cd 0.3365 0.6635 0.5000  6 O 2.32-2.39
8 Cd 0.6635 0.3365 0.5000  6 O 2.32-2.39
9 Rb 0.1732 0.8268 0.0000  6 O 2.82-2.98
10 Rb 0.8268 0.1732 0.0000  6 O 2.82-2.98
11 Rh 0.0000 0.0000 0.5000  6 O 1.99-2.00

Formation energy without anion corrections   -930 meV/atom
Fermi-level density of states   7.1 states/eV per cell
Spin magnetization   0.266 μB/atom
V   188 Å³ per cell

spin magnetization of number 5 (Re2Br2O7)?
0.000 μB/atom

Copy entry 5 word for word.
# Re2Br2O7

Re2Br2O7 after structural relaxation (PBE, Alexandria).

Lattice parameters (Å, degrees): 4.8492 8.3178 8.3178 93.55 91.81 91.81
Last column: nearest neighbours and their distance in Å.
Positions (direct):
1 O 0.0154 0.8835 0.6525  1 Re 1.72
2 O 0.9846 0.3475 0.1165  1 Re 1.72
3 O 0.0154 0.6525 0.8835  1 Re 1.72
4 O 0.9846 0.1165 0.3475  1 Re 1.72
5 O 0.5210 0.1462 0.1462  1 Re 1.73
6 O 0.4790 0.8538 0.8538  1 Re 1.73
7 O 0.0000 0.0000 0.0000  2 Re 1.88
8 Re 0.1215 0.8453 0.8453  4 O 1.72-1.88
9 Re 0.8785 0.1547 0.1547  4 O 1.72-1.88
10 Br 0.5000 0.4049 0.5951  1 Br 2.30
11 Br 0.5000 0.5951 0.4049  1 Br 2.30

Formation energy without anion corrections   -1164 meV/atom
Fermi-level density of states   0.0 states/eV per cell
Spin magnetization   0.000 μB/atom
V   334 Å³ per cell

Fermi-level density of states of number 6 (Zn4As3)?
2.3 states/eV per cell